VASP calculation (PBE) on crystalline DyThNi at its relaxed geometry.

Cell lengths 3.7602, 3.7602, 6.3974 Å; angles 90.00, 90.00, 120.00 degrees
With the nearest neighbours (Å) after each atom.
Space group P3m1 (No. 156)
Asymmetric unit:
Dy: 0.0000 0.0000 0.0000 [1 per cell]  3 Ni 2.78
Th: 0.6667 0.3333 0.4654 [1 per cell]  3 Ni 2.74
Ni: 0.3333 0.6667 0.7277 [1 per cell]  3 Th 2.74, 3 Dy 2.78

E above lowest polymorph: 36 meV/atom
Spin magnetization: 0.0 Bohr magnetons per cell
Energy relative to the elements: -0.43 eV/f.u.
Raw total energy: -6.078 eV/atom